# 1
A relaxed structure of CaCeGd. Source: Alexandria, functional PBE.

POSCAR file:
```
CaCeGd
1.0
3.6131 0.0000 0.0000
-1.8066 3.1291 0.0000
0.0000 0.0000 9.0742
Ca Gd Ce
1 1 1
Cartesian
0.0000 0.0000 9.0655
1.8066 1.0430 3.1555
0.0000 2.0860 5.9273
```

Results
Total moment in μB/cell: 6.341
Polymorph energy (0 for the lowest one) in eV/atom: 0.000
Crystal system: trigonal

# 2
A relaxed structure of CaCeGdHo. Source: Alexandria, functional PBE.

POSCAR file:
```
CaCeGdHo
1.0
5.7586 0.0000 0.0000
2.8793 4.9871 0.0000
2.8793 1.6624 4.7019
Ca Gd Ho Ce
1 1 1 1
Cartesian
2.8793 1.6624 1.1755
5.7586 3.3247 2.3509
0.0000 0.0000 0.0000
8.6379 4.9871 3.5264
```

Results
Total moment in μB/cell: 9.378
Total energy in eV per atom: -6.42
Crystal system: cubic

# 3
A relaxed structure of CaCeNdGd. Source: Alexandria, functional PBE.

POSCAR file:
```
CaCeNdGd
1.0
-5.0791 -0.9052 2.7190
-4.8058 -1.1370 -3.1017
-2.3412 -5.3402 0.1027
Ca Gd Nd Ce
1 1 1 1
Cartesian
-3.0565 -1.8456 -0.0700
0.0000 0.0000 0.0000
-6.1131 -3.6912 -0.1400
-9.1696 -5.5368 -0.2100
```

Results
Total moment in μB/cell: 5.895
Total energy in eV per atom: -6.46
Crystal system: cubic

# 4
A relaxed structure of CaCePmGd. Source: Alexandria, functional PBE.

POSCAR file:
```
CaCePmGd
1.0
-3.5057 -4.0950 -2.1855
-0.9050 -4.9310 2.9500
-5.1749 -1.0119 2.4560
Ca Gd Ce Pm
1 1 1 1
Cartesian
-2.3964 -2.5095 0.8051
0.0000 0.0000 0.0000
-7.1893 -7.5284 2.4153
-4.7928 -5.0189 1.6102
```

Results
Total moment in μB/cell: 5.931
Total energy in eV per atom: -6.45
Crystal system: cubic

# 5
A relaxed structure of CaCeSmGd. Source: Alexandria, functional PBE.

POSCAR file:
```
CaCeSmGd
1.0
-1.9783 1.6785 -5.1917
3.2457 -0.8102 -4.7428
-1.5540 -3.9720 -3.9361
Ca Gd Ce Sm
1 1 1 1
Cartesian
0.0000 0.0000 0.0000
-0.0717 -0.7759 -3.4677
-0.1433 -1.5519 -6.9353
-0.2150 -2.3278 -10.4030
```

Results
Total moment in μB/cell: 9.390
Total energy in eV per atom: -6.46
Crystal system: cubic

# 6
A relaxed structure of CaTbCeGd. Source: Alexandria, functional PBE.

POSCAR file:
```
CaTbCeGd
1.0
-3.2888 4.4969 -1.5330
-0.9371 1.1212 -5.5905
-5.2301 -0.8928 -2.2886
Ca Gd Tb Ce
1 1 1 1
Cartesian
-4.7280 2.3627 -4.7061
-2.3640 1.1813 -2.3530
-7.0920 3.5440 -7.0591
0.0000 0.0000 0.0000
```

Results
Total moment in μB/cell: 5.980
Total energy in eV per atom: -6.41
Crystal system: cubic

> The lowest total moment belongs to which entry?

CaCeNdGd

> Which of these has the highest total moment?

CaCeSmGd

> The lowest total moment belongs to which entry?

CaCeNdGd